No. 1
# Ce3Co8Si | Alexandria | GGA-PBE | optimized geometry
data_Ce3Co8Si
_symmetry_space_group_name_H-M 'P 63/m m c'
_symmetry_Int_Tables_number 194
_symmetry_space_group_name_Hall '-P 6c 2c'
_cell_length_a 5.0325
_cell_length_b 5.0325
_cell_length_c 15.7345
_cell_angle_alpha 90.00
_cell_angle_beta 90.00
_cell_angle_gamma 120.00
loop_
_atom_site_label
_atom_site_type_symbol
_atom_site_fract_x
_atom_site_fract_y
_atom_site_fract_z
Ce1 Ce 0.3333 0.6667 0.0490
Ce2 Ce 0.3333 0.6667 0.2500
Co1 Co 0.0000 0.0000 0.2500
Co2 Co 0.1676 0.3353 0.6245
Co3 Co 0.3333 0.6667 0.7500
Si1 Si 0.0000 0.0000 0.0000
# Energy above the lowest structure with this stoichiometry = 0 meV/atom



No. 2
# Ce2CoSi | Alexandria | GGA-PBE | optimized geometry
data_Ce2CoSi
_symmetry_space_group_name_H-M 'R 3 m'
_symmetry_Int_Tables_number 160
_symmetry_space_group_name_Hall 'R 3 -2"'
_cell_length_a 4.1006
_cell_length_b 4.1006
_cell_length_c 15.7079
_cell_angle_alpha 90.00
_cell_angle_beta 90.00
_cell_angle_gamma 120.00
loop_
_atom_site_label
_atom_site_type_symbol
_atom_site_fract_x
_atom_site_fract_y
_atom_site_fract_z
Ce1 Ce 0.0000 0.0000 0.0000
Ce2 Ce 0.0000 0.0000 0.2274
Co1 Co 0.0000 0.0000 0.7953
Si1 Si 0.0000 0.0000 0.4436
# Energy above the lowest structure with this stoichiometry = 0 meV/atom



No. 3
Ce2Co12Si7 after structural relaxation. Source: Alexandria, functional GGA-PBE.

Geometry as CIF:
```
data_Ce2Co12Si7
_symmetry_space_group_name_H-M 'P -6'
_symmetry_Int_Tables_number 174
_symmetry_space_group_name_Hall 'P -6'
_cell_length_a 9.1654
_cell_length_b 9.1654
_cell_length_c 3.6675
_cell_angle_alpha 90.00
_cell_angle_beta 90.00
_cell_angle_gamma 120.00
loop_
_atom_site_label
_atom_site_type_symbol
_atom_site_fract_x
_atom_site_fract_y
_atom_site_fract_z
Ce1 Ce 0.0000 0.0000 0.0000
Ce2 Ce 0.3333 0.6667 0.5000
Co1 Co 0.0419 0.7663 0.5000
Co2 Co 0.1085 0.3961 0.0000
Co3 Co 0.3896 0.2012 0.0000
Co4 Co 0.5503 0.1097 0.5000
Si1 Si 0.0574 0.6185 0.0000
Si2 Si 0.2718 0.0367 0.5000
Si3 Si 0.6667 0.3333 0.0000
```



No. 4
# Ce3Co3Si | Alexandria | GGA-PBE | optimized geometry
data_Ce3Co3Si
_symmetry_space_group_name_H-M 'C m c m'
_symmetry_Int_Tables_number 63
_symmetry_space_group_name_Hall '-C 2c 2'
_cell_length_a 4.184
_cell_length_b 8.856
_cell_length_c 13.805
_cell_angle_alpha 90.00
_cell_angle_beta 90.00
_cell_angle_gamma 90.00
loop_
_atom_site_label
_atom_site_type_symbol
_atom_site_fract_x
_atom_site_fract_y
_atom_site_fract_z
Ce1 Ce 0.000 0.005 0.250
Ce2 Ce 0.000 0.292 0.604
Co1 Co 0.000 0.269 0.250
Co2 Co 0.000 0.446 0.089
Si1 Si 0.000 0.000 0.000
# Energy above the lowest structure with this stoichiometry = 0 meV/atom



| no. | calculated volume (A^3/atom) | uncorrected energy (eV per atom) |
| --- | --- | --- |
| 1 | 14.38 | -6.97 |
| 2 | 19.06 | -6.62 |
| 3 | 12.71 | -7.01 |
| 4 | 18.27 | -6.78 |